Material: Sr3Th5O12
Method: DFT, GGA-PBE
State: optimized geometry

Results
SG: Ia-3d, No. 230
final energy: -8.332 eV per atom
size of the total moment: 0.00 μB per cell

Cell lengths 12.711, 12.711, 12.711 Å; angles 109.47, 109.47, 109.47 degrees
Element x y z (fractional)
Sr 0.125 0.250 0.375
Sr 0.125 0.375 0.750
Sr 0.250 0.375 0.125
Sr 0.250 0.875 0.625
Sr 0.375 0.125 0.250
Sr 0.375 0.750 0.125
Sr 0.625 0.250 0.875
Sr 0.625 0.875 0.750
Sr 0.750 0.125 0.375
Sr 0.750 0.625 0.875
Sr 0.875 0.625 0.250
Sr 0.875 0.750 0.625
Th 0.000 0.000 0.000
Th 0.000 0.000 0.500
Th 0.000 0.500 0.000
Th 0.000 0.500 0.500
Th 0.125 0.750 0.875
Th 0.125 0.875 0.250
Th 0.250 0.125 0.875
Th 0.250 0.625 0.375
Th 0.375 0.250 0.625
Th 0.375 0.625 0.750
Th 0.500 0.000 0.000
Th 0.500 0.000 0.500
Th 0.500 0.500 0.000
Th 0.500 0.500 0.500
Th 0.625 0.375 0.250
Th 0.625 0.750 0.375
Th 0.750 0.375 0.625
Th 0.750 0.875 0.125
Th 0.875 0.125 0.750
Th 0.875 0.250 0.125
O 0.024 0.195 0.134
O 0.024 0.329 0.890
O 0.061 0.695 0.671
O 0.061 0.866 0.390
O 0.110 0.634 0.439
O 0.110 0.976 0.671
O 0.134 0.024 0.195
O 0.134 0.610 0.939
O 0.171 0.195 0.561
O 0.171 0.476 0.610
O 0.195 0.134 0.024
O 0.195 0.561 0.171
O 0.305 0.329 0.939
O 0.305 0.476 0.366
O 0.329 0.890 0.024
O 0.329 0.939 0.305
O 0.366 0.305 0.476
O 0.366 0.561 0.890
O 0.390 0.061 0.866
O 0.390 0.829 0.524
O 0.439 0.110 0.634
O 0.439 0.829 0.805
O 0.476 0.366 0.305
O 0.476 0.610 0.171
O 0.524 0.390 0.829
O 0.524 0.634 0.695
O 0.561 0.171 0.195
O 0.561 0.890 0.366
O 0.610 0.171 0.476
O 0.610 0.939 0.134
O 0.634 0.439 0.110
O 0.634 0.695 0.524
O 0.671 0.061 0.695
O 0.671 0.110 0.976
O 0.695 0.524 0.634
O 0.695 0.671 0.061
O 0.805 0.439 0.829
O 0.805 0.866 0.976
O 0.829 0.524 0.390
O 0.829 0.805 0.439
O 0.866 0.390 0.061
O 0.866 0.976 0.805
O 0.890 0.024 0.329
O 0.890 0.366 0.561
O 0.939 0.134 0.610
O 0.939 0.305 0.329
O 0.976 0.671 0.110
O 0.976 0.805 0.866